This record from the Alexandria database describes Ag5PdO4 after structural relaxation. The functional is PBE-GGA.

Size of the total moment in μB/f.u.: 0.00
ΔE_f (raw) in eV/atom: 0.0289

Lattice parameters (Å, degrees): 6.424 9.513 5.051 90.00 90.00 90.00
Fractional coordinates of all 20 atoms:
Ag (0.006, 0.095, 0.222)
Ag (0.006, 0.405, 0.222)
Ag (0.250, 0.750, 0.387)
Ag (0.494, 0.095, 0.222)
Ag (0.494, 0.405, 0.222)
Ag (0.506, 0.595, 0.778)
Ag (0.506, 0.905, 0.778)
Ag (0.750, 0.250, 0.613)
Ag (0.994, 0.595, 0.778)
Ag (0.994, 0.905, 0.778)
Pd (0.250, 0.250, 0.625)
Pd (0.750, 0.750, 0.375)
O (0.013, 0.250, 0.892)
O (0.250, 0.037, 0.578)
O (0.250, 0.463, 0.578)
O (0.487, 0.250, 0.892)
O (0.513, 0.750, 0.108)
O (0.750, 0.537, 0.422)
O (0.750, 0.963, 0.422)
O (0.987, 0.750, 0.108)



This record from the Alexandria database describes Rb2NaW after structural relaxation. The functional is PBE-GGA.

Size of the total moment in μB/f.u.: 5.04
Energy above the most stable polymorph in this dataset in meV/atom: 169.3

Lattice parameters (Å, degrees): 5.501 5.501 26.045 90.00 90.00 90.00
Fractional coordinates of all 16 atoms:
Rb (0.240, 0.250, 0.125)
Rb (0.250, 0.740, 0.375)
Rb (0.250, 0.760, 0.875)
Rb (0.260, 0.250, 0.625)
Rb (0.740, 0.750, 0.625)
Rb (0.750, 0.240, 0.875)
Rb (0.750, 0.260, 0.375)
Rb (0.760, 0.750, 0.125)
Na (0.000, 0.000, 0.500)
Na (0.000, 0.500, 0.750)
Na (0.500, 0.000, 0.250)
Na (0.500, 0.500, 0.000)
W (0.000, 0.000, 0.000)
W (0.000, 0.500, 0.250)
W (0.500, 0.000, 0.750)
W (0.500, 0.500, 0.500)



This record from the Alexandria database describes LaTc3 after structural relaxation. The functional is PBE-GGA.

Size of the total moment in μB/f.u.: 0.00
DFT total energy in eV/cell: -68.44

Lattice parameters (Å, degrees): 3.020 9.271 5.162 90.00 90.00 90.00
Fractional coordinates of all 8 atoms:
La (0.000, 0.000, 0.000)
La (0.500, 0.500, 0.500)
Tc (0.000, 0.220, 0.404)
Tc (0.000, 0.500, 0.018)
Tc (0.000, 0.780, 0.404)
Tc (0.500, 0.000, 0.518)
Tc (0.500, 0.280, 0.904)
Tc (0.500, 0.720, 0.904)